Record 1
The following is a meta-GGA SCAN calculation of Sr2In3Rh2 at its PBEsol-relaxed geometry, from Alexandria.

## Properties
E_form: -0.584 eV per atom
total magnetic moment: 0.00 μB/f.u.

Cell: 4.2472 5.8339 7.7171 Å, 69.29 74.03 68.65°
Fractional coordinates of all 7 atoms:
1 In 0.5000 0.0000 0.0000
2 In 0.6404 0.1637 0.5555
3 In 0.3596 0.8363 0.4445
4 Rh 0.8724 0.0489 0.2064
5 Rh 0.1276 0.9511 0.7936
6 Sr 0.8553 0.5130 0.7765
7 Sr 0.1447 0.4870 0.2235


Record 2
The following is a meta-GGA SCAN calculation of TlP3W at its PBEsol-relaxed geometry, from Alexandria.

## Properties
E_form: 2.396 eV per atom
total magnetic moment: 2.28 μB/f.u.

Cell: 4.8572 4.8572 4.8572 Å, 90.00 90.00 90.00°
Site moments in Bohr magnetons follow the coordinates.
Fractional coordinates of all 5 atoms:
1 P 0.0000 0.5000 0.0000  -0.27
2 P 0.0000 0.0000 0.5000  -0.27
3 P 0.5000 0.0000 0.0000  -0.27
4 Tl 0.0000 0.0000 0.0000  0.00
5 W 0.5000 0.5000 0.5000  2.87


Record 3
The following is a meta-GGA SCAN calculation of Li2LaSe at its PBEsol-relaxed geometry, from Alexandria.

## Properties
formation energy without anion corrections: -3.45 eV per formula unit
total magnetic moment: 0.00 μB/f.u.

Cell: 4.0145 4.7083 4.7169 Å, 90.00 95.11 90.00°
Fractional coordinates of all 4 atoms:
1 Li 0.6266 0.0000 0.7843
2 Li 0.3734 0.0000 0.2157
3 Se 0.5000 0.5000 0.0000
4 La 0.0000 0.5000 0.5000